No. 1
A geometry-optimized GdTlPt4 structure, computed with PBE-GGA.

Cell: 5.4436 5.4436 5.4436 Å, 60.00 60.00 60.00°
Positions (direct):
Gd 0.0000 0.0000 0.0000
Tl 0.2500 0.2500 0.2500
Pt 0.1260 0.6247 0.6247
Pt 0.6247 0.1260 0.6247
Pt 0.6247 0.6247 0.1260
Pt 0.6247 0.6247 0.6247

Values from the calculation:
Calculated total energy: -7.5068 eV per atom
Formation enthalpy at 0 K: -0.74 eV/atom

---

No. 2
A geometry-optimized GdTmTlPt structure, computed with PBE-GGA.

Cell: 5.1444 5.1444 5.1444 Å, 60.00 60.00 60.00°
Positions (direct):
Gd 0.0000 0.0000 0.0000
Tm 0.5000 0.5000 0.5000
Tl 0.2500 0.2500 0.2500
Pt 0.7500 0.7500 0.7500

Values from the calculation:
Calculated total energy: -7.4304 eV per atom
Formation enthalpy at 0 K: -0.69 eV/atom

---

No. 3
A geometry-optimized GdTmPt structure, computed with PBE-GGA.

Cell: 4.8539 4.8539 4.8539 Å, 60.00 60.00 60.00°
Positions (direct):
Gd 0.0000 0.0000 0.0000
Tm 0.5000 0.5000 0.5000
Pt 0.2500 0.2500 0.2500

Values from the calculation:
E above lowest polymorph: 0.000 eV/atom
Calculated total energy: -9.0646 eV per atom
Formation enthalpy at 0 K: -0.87 eV/atom